Material: TeN2ClF
Method: DFT, PBE
State: relaxed

The excess energy over the best structure of this formula in the dataset is 819 meV per atom. The calculation puts the volume at 101.50 Å³ per cell. For the uncorrected energy, the calculation gives -2.858 eV/atom. Its density of states at the Fermi level is 5.76 states/eV/f.u. For the uncorrected formation energy, the calculation gives 1.844 eV/atom.

The space group is P4/mmm (No. 123) and the conventional cell measures 3.606, 3.606 and 7.806 Å, with angles of 90.00, 90.00 and 90.00 degrees. The inequivalent atoms are Te at (0.000, 0.000, 0.000), N at (0.000, 0.500, 0.500), Cl at (0.000, 0.000, 0.500) and F at (0.500, 0.500, 0.000).